(1)
In2SnAuBr | Alexandria via LeMat-Bulk | SCAN | single point on PBEsol structure; raw formation energy = 21 kJ/mol of atoms; VASP energy = -190.23 eV/cell
1.0
5.214 0.000 0.000
0.000 5.214 0.000
0.000 0.000 5.425
In Sn Au Br
2 1 1 1
Direct
0.000 0.500 0.000
0.500 0.000 0.000
0.000 0.000 0.500
0.500 0.500 0.000
0.500 0.500 0.500

(2)
MnAlNi2 | Alexandria via LeMat-Bulk | SCAN | single point on PBEsol structure; energy of formation = -0.472 eV/atom; VASP energy = -120.48 eV/cell
1.0
8.619 0.000 0.000
0.000 2.855 0.000
-1.339 0.000 3.800
Mn Al Ni
2 2 4
Direct
0.000 0.000 0.000
0.500 0.500 0.000
0.240 0.000 0.669
0.740 0.500 0.669
0.245 0.500 0.172
0.499 0.000 0.499
0.745 0.000 0.172
0.999 0.500 0.499

- Look up the VASP energy of the first one.
  -190.23 eV/cell

- Number 1 is which compound?
  In2SnAuBr

Copy entry 1 word for word.
In2SnAuBr | Alexandria via LeMat-Bulk | SCAN | single point on PBEsol structure; raw formation energy = 21 kJ/mol of atoms; VASP energy = -190.23 eV/cell
1.0
5.214 0.000 0.000
0.000 5.214 0.000
0.000 0.000 5.425
In Sn Au Br
2 1 1 1
Direct
0.000 0.500 0.000
0.500 0.000 0.000
0.000 0.000 0.500
0.500 0.500 0.000
0.500 0.500 0.500

- Among the records above, which one has the highest VASP energy?
  MnAlNi2